Arrangement a

VASP calculation (PBE-GGA) on PmMgPO after structural relaxation.

```
data_PmMgPO
_space_group_name_H-M_alt 'P m c 21'
_space_group_IT_number 26
_cell_length_a 4.5160
_cell_length_b 6.1075
_cell_length_c 5.8427
_cell_angle_alpha 90.00
_cell_angle_beta 90.00
_cell_angle_gamma 90.00
loop_
_space_group_symop_operation_xyz
'x,y,z'
'-x,-y,z+1/2'
'-x,y,z'
'x,-y,z+1/2'
loop_
_atom_site_label
_atom_site_fract_x
_atom_site_fract_y
_atom_site_fract_z
_atom_site_occupancy
Pm1 0.0000 0.2365 0.0000 1
Mg1 0.5000 0.3695 0.6072 1
P1 0.0000 0.2328 0.4957 1
O1 0.5000 0.3389 0.9513 1
```

The crystal system is orthorhombic. The total moment is 0.0 μB per formula unit. The volume is 20.144 A^3/atom.

***

Arrangement b

VASP calculation (PBE-GGA) on PmMgPO after structural relaxation.

```
data_PmMgPO
_space_group_name_H-M_alt 'P m c 21'
_space_group_IT_number 26
_cell_length_a 4.3735
_cell_length_b 4.4344
_cell_length_c 7.0061
_cell_angle_alpha 90.00
_cell_angle_beta 90.00
_cell_angle_gamma 90.00
loop_
_space_group_symop_operation_xyz
'x,y,z'
'-x,-y,z+1/2'
'-x,y,z'
'x,-y,z+1/2'
loop_
_atom_site_label
_atom_site_fract_x
_atom_site_fract_y
_atom_site_fract_z
_atom_site_occupancy
Pm1 0.0000 0.1976 0.0000 1
Mg1 0.5000 0.3050 0.3496 1
P1 0.5000 0.1950 0.6949 1
O1 0.0000 0.3003 0.3420 1
```

The crystal system is orthorhombic. The total moment is 0.0 μB per formula unit. The volume is 16.984 A^3/atom.

***

Taking the most stable structure as the zero point, the relative energies in meV/atom are arrangement a 0; arrangement b 112.